Record 1
Crystalline ZrIn2Mo at its relaxed geometry. Source: Alexandria, functional PBE.

DFT formation energy in eV/atom: 0.036
VASP energy in eV for the cell shown: -49.4
Spin magnetization in μB/f.u.: 0.000
DOS at the Fermi energy in states/eV per atom: 0.51
ρ in Mg/m³: 8.56

Cell lengths 10.341, 3.773, 4.621 Å; angles 90.00, 116.20, 90.00 degrees
Space group C2/m (No. 12)
Symmetry-distinct sites (fractional):
Zr  0.000  0.000  0.000 x2
In  0.242  0.000  0.742 x4
Mo  0.000  0.500  0.500 x2

=====

Record 2
Crystalline La4TlAg3 at its relaxed geometry. Source: Alexandria, functional PBE.

DFT formation energy in eV/atom: -0.269
VASP energy in eV for the cell shown: -32.8
Spin magnetization in μB/f.u.: 0.001
DOS at the Fermi energy in states/eV per atom: 1.11
ρ in Mg/m³: 7.58

Cell lengths 3.938, 5.003, 12.040 Å; angles 90.00, 90.00, 90.00 degrees
Space group Pmm2 (No. 25)
Symmetry-distinct sites (fractional):
La  0.000  0.000  0.000 x1
La  0.000  0.500  0.280 x1
La  0.500  0.000  0.485 x1
La  0.500  0.500  0.792 x1
Tl  0.000  0.000  0.716 x1
Ag  0.000  0.500  0.558 x1
Ag  0.500  0.000  0.212 x1
Ag  0.500  0.500  0.068 x1

=====

Record 3
Crystalline KSrCoCl6 at its relaxed geometry. Source: Alexandria, functional PBE.

VASP energy in eV for the cell shown: -34.2
Spin magnetization in μB/f.u.: 0.161
Formation energy without anion corrections in kJ/mol of atoms: -141.4
ρ in Mg/m³: 2.41

Cell lengths 6.8925, 6.8925, 6.6688 Å; angles 90.00, 90.00, 120.00 degrees
Space group P312 (No. 149)
Symmetry-distinct sites (fractional):
K  0.0000  0.0000  0.0000 x1
Sr  0.3333  0.6667  0.5000 x1
Co  0.6667  0.3333  0.5000 x1
Cl  0.3992  0.0653  0.7026 x6